# ZrMo3O

A relaxed ZrMo3O crystal (PBE+U, Alexandria).

Cell and atoms, written as POSCAR:
```
ZrMo3O
1.0
4.301 0.000 0.000
0.000 4.301 0.000
0.000 0.000 4.301
Mo O Zr
3 1 1
Direct
0.000 0.500 0.000 Mo
0.000 0.000 0.500 Mo
0.500 0.000 0.000 Mo
0.000 0.000 0.000 O
0.500 0.500 0.500 Zr
```

Excess energy over the best structure of this formula in the dataset, meV per atom: 0
Volume, Å³/f.u.: 80
Crystal system: cubic